# 1
A plane-wave DFT calculation with GGA-PBE was carried out for a relaxed PrZrGa4 crystal.

abc: 4.194 5.805 5.805
angles: 78.35 68.83 68.83
Positions (direct):
1 Pr 0.000 0.000 0.000
2 Zr 0.500 0.500 0.500
3 Ga 0.242 0.423 0.093
4 Ga 0.242 0.093 0.423
5 Ga 0.758 0.577 0.907
6 Ga 0.758 0.907 0.577

Properties
calculated formation energy: -52 kJ/mol of atoms
volume: 122.5 Å³ per cell
electronic total energy: -4.7744 eV per atom
polymorph energy (0 for the lowest one): 0.000 eV/f.u.

# 2
A plane-wave DFT calculation with GGA-PBE was carried out for a relaxed PrZrGa3 crystal.

abc: 4.119 4.128 12.856
angles: 99.24 90.00 90.00
Positions (direct):
1 Pr 0.250 0.077 0.153
2 Pr 0.750 0.923 0.847
3 Zr 0.250 0.794 0.588
4 Zr 0.750 0.206 0.412
5 Ga 0.250 0.375 0.750
6 Ga 0.750 0.625 0.250
7 Ga 0.250 0.474 0.949
8 Ga 0.750 0.526 0.051
9 Ga 0.750 0.316 0.632
10 Ga 0.250 0.684 0.368

Properties
calculated formation energy: -59 kJ/mol of atoms
volume: 215.8 Å³ per cell
electronic total energy: -5.0916 eV per atom

# 3
A plane-wave DFT calculation with GGA-PBE was carried out for a relaxed Pr5ZrGa4 crystal.

abc: 4.158 8.352 8.547
angles: 79.01 104.08 90.00
Positions (direct):
1 Pr 0.827 0.575 0.654
2 Pr 0.829 0.120 0.658
3 Pr 0.171 0.880 0.342
4 Pr 0.500 0.500 0.000
5 Pr 0.173 0.425 0.346
6 Zr 0.500 0.000 0.000
7 Ga 0.365 0.833 0.730
8 Ga 0.980 0.780 0.959
9 Ga 0.635 0.167 0.270
10 Ga 0.020 0.220 0.041

Properties
calculated formation energy: -31 kJ/mol of atoms
volume: 282.3 Å³ per cell
electronic total energy: -4.7764 eV per atom

# 4
A plane-wave DFT calculation with GGA-PBE was carried out for a relaxed PrZrGa4 crystal.

abc: 3.930 8.258 15.727
angles: 90.00 90.00 90.00
Positions (direct):
1 Pr 0.000 0.620 0.352
2 Pr 0.000 0.380 0.648
3 Pr 0.000 0.120 0.148
4 Pr 0.000 0.880 0.852
5 Zr 0.000 0.627 0.082
6 Zr 0.000 0.373 0.918
7 Zr 0.000 0.127 0.418
8 Zr 0.000 0.873 0.582
9 Ga 0.500 0.792 0.189
10 Ga 0.500 0.208 0.811
11 Ga 0.500 0.292 0.311
12 Ga 0.500 0.708 0.689
13 Ga 0.500 0.871 0.035
14 Ga 0.500 0.129 0.965
15 Ga 0.500 0.371 0.465
16 Ga 0.500 0.629 0.535
17 Ga 0.500 0.878 0.448
18 Ga 0.500 0.122 0.552
19 Ga 0.500 0.378 0.052
20 Ga 0.500 0.622 0.948
21 Ga 0.500 0.987 0.302
22 Ga 0.500 0.013 0.698
23 Ga 0.500 0.487 0.198
24 Ga 0.500 0.513 0.802

Properties
calculated formation energy: -49 kJ/mol of atoms
volume: 510.4 Å³ per cell
electronic total energy: -4.7497 eV per atom
polymorph energy (0 for the lowest one): 0.148 eV/f.u.

# 5
A plane-wave DFT calculation with GGA-PBE was carried out for a relaxed GaPt2 crystal.

abc: 4.154 4.154 4.154
angles: 60.00 60.00 60.00
Positions (direct):
1 Ga 0.000 0.000 0.000
2 Pt 0.750 0.750 0.750
3 Pt 0.250 0.250 0.250

Properties
calculated formation energy: -49 kJ/mol of atoms
volume: 50.7 Å³ per cell
electronic total energy: -5.5453 eV per atom

# 6
A plane-wave DFT calculation with GGA-PBE was carried out for a relaxed Ga4Pt3 crystal.

abc: 3.671 6.228 7.063
angles: 122.23 105.06 90.00
Positions (direct):
1 Ga 0.157 0.478 0.313
2 Ga 0.843 0.522 0.687
3 Ga 0.411 0.124 0.823
4 Ga 0.589 0.876 0.177
5 Pt 0.000 0.000 0.000
6 Pt 0.249 0.194 0.498
7 Pt 0.751 0.806 0.502

Properties
calculated formation energy: -53 kJ/mol of atoms
volume: 130.0 Å³ per cell
electronic total energy: -4.8698 eV per atom

# 7
A plane-wave DFT calculation with GGA-PBE was carried out for a relaxed Ga3Pt5 crystal.

abc: 5.543 5.543 3.993
angles: 90.00 90.00 94.22
Positions (direct):
1 Ga 0.000 0.000 0.000
2 Ga 0.714 0.286 0.500
3 Ga 0.286 0.714 0.500
4 Pt 0.500 0.500 0.000
5 Pt 0.000 0.500 0.000
6 Pt 0.500 0.000 0.000
7 Pt 0.209 0.209 0.500
8 Pt 0.791 0.791 0.500

Properties
calculated formation energy: -55 kJ/mol of atoms
volume: 122.3 Å³ per cell
electronic total energy: -5.4829 eV per atom

# 8
A plane-wave DFT calculation with GGA-PBE was carried out for a relaxed Ga13Pt2 crystal.

abc: 5.661 6.615 8.866
angles: 120.59 98.82 91.63
Positions (direct):
1 Ga 0.776 0.545 0.043
2 Ga 0.224 0.455 0.957
3 Ga 0.000 0.000 0.000
4 Ga 0.106 0.016 0.656
5 Ga 0.894 0.984 0.344
6 Ga 0.101 0.448 0.644
7 Ga 0.899 0.552 0.356
8 Ga 0.424 0.664 0.429
9 Ga 0.576 0.336 0.571
10 Ga 0.506 0.771 0.894
11 Ga 0.494 0.229 0.106
12 Ga 0.589 0.120 0.747
13 Ga 0.411 0.880 0.253
14 Pt 0.796 0.747 0.680
15 Pt 0.204 0.253 0.320

Properties
calculated formation energy: -20 kJ/mol of atoms
volume: 280.2 Å³ per cell
electronic total energy: -3.6353 eV per atom

# 9
A plane-wave DFT calculation with GGA-PBE was carried out for a relaxed Ga3Pt2 crystal.

abc: 6.011 6.011 7.017
angles: 64.64 64.64 60.00
Positions (direct):
1 Ga 0.102 0.750 0.750
2 Ga 0.750 0.398 0.750
3 Ga 0.398 0.102 0.750
4 Ga 0.250 0.602 0.250
5 Ga 0.602 0.898 0.250
6 Ga 0.898 0.250 0.250
7 Pt 0.832 0.832 0.505
8 Pt 0.332 0.332 0.005
9 Pt 0.168 0.168 0.495
10 Pt 0.668 0.668 0.995

Properties
calculated formation energy: -52 kJ/mol of atoms
volume: 190.9 Å³ per cell
electronic total energy: -4.7669 eV per atom
polymorph energy (0 for the lowest one): 0.369 eV/f.u.

# 10
A plane-wave DFT calculation with GGA-PBE was carried out for a relaxed Ga2Pt5 crystal.

abc: 5.633 6.300 6.998
angles: 63.25 88.64 90.00
Positions (direct):
1 Ga 0.507 0.326 0.780
2 Ga 0.993 0.106 0.220
3 Ga 0.493 0.674 0.220
4 Ga 0.007 0.894 0.780
5 Pt 0.514 0.079 0.212
6 Pt 0.986 0.291 0.788
7 Pt 0.267 0.713 0.544
8 Pt 0.233 0.258 0.456
9 Pt 0.733 0.287 0.456
10 Pt 0.767 0.742 0.544
11 Pt 0.014 0.709 0.212
12 Pt 0.486 0.921 0.788
13 Pt 0.750 0.514 0.000
14 Pt 0.250 0.486 0.000

Properties
calculated formation energy: -40 kJ/mol of atoms
volume: 221.7 Å³ per cell
electronic total energy: -5.5963 eV per atom

# 11
A plane-wave DFT calculation with GGA-PBE was carried out for a relaxed Ga2Pt crystal.

abc: 8.649 8.649 12.579
angles: 110.11 110.11 90.00
Positions (direct):
1 Ga 0.836 0.019 0.126
2 Ga 0.460 0.231 0.374
3 Ga 0.608 0.790 0.126
4 Ga 0.357 0.586 0.626
5 Ga 0.642 0.960 0.374
6 Ga 0.790 0.519 0.126
7 Ga 0.210 0.482 0.874
8 Ga 0.018 0.290 0.126
9 Ga 0.518 0.336 0.126
10 Ga 0.857 0.540 0.626
11 Ga 0.269 0.040 0.626
12 Ga 0.142 0.914 0.374
13 Ga 0.232 0.460 0.374
14 Ga 0.040 0.268 0.626
15 Ga 0.290 0.107 0.126
16 Ga 0.732 0.414 0.374
17 Ga 0.586 0.358 0.626
18 Ga 0.981 0.710 0.874
19 Ga 0.710 0.892 0.874
20 Ga 0.481 0.664 0.874
21 Ga 0.108 0.836 0.126
22 Ga 0.914 0.143 0.374
23 Ga 0.893 0.164 0.874
24 Ga 0.393 0.210 0.874
25 Ga 0.960 0.643 0.374
26 Ga 0.164 0.982 0.874
27 Ga 0.540 0.858 0.626
28 Ga 0.336 0.607 0.126
29 Ga 0.769 0.086 0.626
30 Ga 0.414 0.731 0.374
31 Ga 0.664 0.392 0.874
32 Ga 0.086 0.768 0.626
33 Pt 0.859 0.859 0.717
34 Pt 0.641 0.641 0.283
35 Pt 0.195 0.305 0.000
36 Pt 0.805 0.695 0.000
37 Pt 0.945 0.945 0.500
38 Pt 0.109 0.609 0.217
39 Pt 0.609 0.109 0.217
40 Pt 0.391 0.891 0.783
41 Pt 0.359 0.359 0.717
42 Pt 0.055 0.445 0.500
43 Pt 0.305 0.805 0.000
44 Pt 0.141 0.141 0.283
45 Pt 0.555 0.555 0.500
46 Pt 0.445 0.055 0.500
47 Pt 0.891 0.391 0.783
48 Pt 0.695 0.195 0.000

Properties
calculated formation energy: -56 kJ/mol of atoms
volume: 822.3 Å³ per cell
electronic total energy: -4.6134 eV per atom

# 12
A plane-wave DFT calculation with GGA-PBE was carried out for a relaxed Ga3Pt crystal.

abc: 3.809 5.402 4.814
angles: 124.13 113.30 90.00
Positions (direct):
1 Ga 0.314 0.653 0.628
2 Ga 0.500 0.404 0.000
3 Ga 0.686 0.025 0.372
4 Pt 0.000 0.085 0.000

Properties
calculated formation energy: -37 kJ/mol of atoms
volume: 72.0 Å³ per cell
electronic total energy: -4.1657 eV per atom
polymorph energy (0 for the lowest one): 0.250 eV/f.u.

# 13
A plane-wave DFT calculation with GGA-PBE was carried out for a relaxed Ga3Pt crystal.

abc: 3.759 4.840 8.206
angles: 90.00 90.00 112.85
Positions (direct):
1 Ga 0.364 0.727 0.460
2 Ga 0.636 0.273 0.540
3 Ga 0.926 0.852 0.750
4 Ga 0.074 0.148 0.250
5 Ga 0.364 0.727 0.040
6 Ga 0.636 0.273 0.960
7 Pt 0.786 0.572 0.250
8 Pt 0.214 0.428 0.750

Properties
calculated formation energy: -43 kJ/mol of atoms
volume: 137.6 Å³ per cell
electronic total energy: -4.2282 eV per atom
polymorph energy (0 for the lowest one): 0.000 eV/f.u.

# 14
A plane-wave DFT calculation with GGA-PBE was carried out for a relaxed GaPt3 crystal.

abc: 3.922 5.626 5.627
angles: 95.94 90.00 90.00
Positions (direct):
1 Ga 0.250 0.340 0.660
2 Ga 0.750 0.660 0.340
3 Pt 0.750 0.153 0.390
4 Pt 0.750 0.119 0.881
5 Pt 0.750 0.610 0.847
6 Pt 0.250 0.847 0.610
7 Pt 0.250 0.881 0.119
8 Pt 0.250 0.390 0.153

Properties
calculated formation energy: -40 kJ/mol of atoms
volume: 123.5 Å³ per cell
electronic total energy: -5.7045 eV per atom

# 15
A plane-wave DFT calculation with GGA-PBE was carried out for a relaxed Ga3Pt crystal.

abc: 2.916 4.401 5.356
angles: 90.00 90.00 90.00
Positions (direct):
1 Ga 0.500 0.206 0.000
2 Ga 0.500 0.462 0.500
3 Ga 0.000 0.951 0.500
4 Pt 0.000 0.714 0.000

Properties
calculated formation energy: -19 kJ/mol of atoms
volume: 68.7 Å³ per cell
electronic total energy: -3.9796 eV per atom
polymorph energy (0 for the lowest one): 0.995 eV/f.u.

# 16
A plane-wave DFT calculation with GGA-PBE was carried out for a relaxed GaPt2 crystal.

abc: 3.954 5.564 16.720
angles: 90.00 90.00 90.00
Positions (direct):
1 Ga 0.500 0.000 0.000
2 Ga 0.500 0.000 0.500
3 Ga 0.000 0.794 0.250
4 Ga 0.000 0.206 0.750
5 Ga 0.000 0.313 0.093
6 Ga 0.000 0.687 0.907
7 Ga 0.000 0.313 0.407
8 Ga 0.000 0.687 0.593
9 Pt 0.500 0.500 0.000
10 Pt 0.500 0.500 0.500
11 Pt 0.000 0.266 0.250
12 Pt 0.000 0.734 0.750
13 Pt 0.000 0.792 0.069
14 Pt 0.000 0.208 0.931
15 Pt 0.000 0.792 0.431
16 Pt 0.000 0.208 0.569
17 Pt 0.500 0.049 0.156
18 Pt 0.500 0.951 0.844
19 Pt 0.500 0.049 0.344
20 Pt 0.500 0.951 0.656
21 Pt 0.500 0.556 0.168
22 Pt 0.500 0.444 0.832
23 Pt 0.500 0.556 0.332
24 Pt 0.500 0.444 0.668

Properties
calculated formation energy: -53 kJ/mol of atoms
volume: 367.9 Å³ per cell
electronic total energy: -5.5888 eV per atom

# 17
A plane-wave DFT calculation with GGA-PBE was carried out for a relaxed GaPt6 crystal.

abc: 6.122 6.122 6.122
angles: 109.47 109.47 109.47
Last column: magnetic moment on the atom in μB.
Positions (direct):
1 Ga 0.000 0.000 0.000  0.00
2 Pt 0.250 0.750 0.500  0.36
3 Pt 0.500 0.750 0.250  0.36
4 Pt 0.250 0.500 0.750  0.36
5 Pt 0.750 0.250 0.500  0.36
6 Pt 0.500 0.250 0.750  0.36
7 Pt 0.750 0.500 0.250  0.36

Properties
calculated formation energy: 70 kJ/mol of atoms
volume: 176.7 Å³ per cell
electronic total energy: -4.8826 eV per atom

# 18
A plane-wave DFT calculation with GGA-PBE was carried out for a relaxed Ga3Pt2 crystal.

abc: 4.295 4.295 5.307
angles: 90.00 90.00 120.00
Positions (direct):
1 Pt 0.333 0.667 0.167
2 Pt 0.667 0.333 0.833
3 Ga 0.000 0.000 0.000
4 Ga 0.333 0.667 0.644
5 Ga 0.667 0.333 0.356

Properties
calculated formation energy: -59 kJ/mol of atoms
volume: 84.8 Å³ per cell
electronic total energy: -4.8408 eV per atom
polymorph energy (0 for the lowest one): 0.000 eV/f.u.

# 19
A plane-wave DFT calculation with GGA-PBE was carried out for a relaxed GaPt3 crystal.

abc: 4.027 4.027 4.763
angles: 115.00 115.00 90.00
Positions (direct):
1 Ga 0.000 0.000 0.000
2 Pt 0.750 0.250 0.500
3 Pt 0.250 0.750 0.500
4 Pt 0.500 0.500 0.000

Properties
calculated formation energy: -33 kJ/mol of atoms
volume: 61.9 Å³ per cell
electronic total energy: -5.6327 eV per atom

# 20
A plane-wave DFT calculation with GGA-PBE was carried out for a relaxed GaPt7 crystal.

abc: 5.603 5.603 5.603
angles: 60.00 60.00 60.00
Positions (direct):
1 Ga 0.000 0.000 0.000
2 Pt 0.500 0.500 0.000
3 Pt 0.500 0.000 0.500
4 Pt 0.000 0.500 0.500
5 Pt 0.500 0.000 0.000
6 Pt 0.000 0.500 0.000
7 Pt 0.000 0.000 0.500
8 Pt 0.500 0.500 0.500

Properties
calculated formation energy: -21 kJ/mol of atoms
volume: 124.4 Å³ per cell
electronic total energy: -5.8796 eV per atom

# 21
A plane-wave DFT calculation with GGA-PBE was carried out for a relaxed GaPt3 crystal.

abc: 3.945 3.945 3.945
angles: 90.00 90.00 90.00
Positions (direct):
1 Ga 0.500 0.000 0.584
2 Pt 0.000 0.000 0.083
3 Pt 0.000 0.500 0.583
4 Pt 0.500 0.500 0.083

Properties
calculated formation energy: -43 kJ/mol of atoms
volume: 61.4 Å³ per cell
electronic total energy: -5.7350 eV per atom